No. 1
# BaTc2As

An optimized crystal structure of BaTc2As (GGA-PBEsol, the Alexandria database).

abc: 3.5127 3.9264 6.4851
angles: 90.00 91.46 90.00
Closest atoms and distances in Å follow each position.
Space group Pm (No. 6)
Inequivalent atoms, fractional coordinates:
Ba 0.0000 0.0000 0.0000  4 As 3.21-3.25, 4 Tc 3.41-3.53, 2 Ba 3.51
Tc 0.5560 0.0000 0.4609  2 Tc 2.44, 2 As 2.57
Tc 0.9667 0.5000 0.4448  2 Tc 2.44, 2 As 2.46-2.48
As 0.4759 0.5000 0.7125  4 Tc 2.46-2.57

The calculation puts the formation energy at 0.16 eV per atom.



No. 2
# BaTc2As

An optimized crystal structure of BaTc2As (GGA-PBEsol, the Alexandria database).

abc: 6.1667 9.0226 3.0479
angles: 90.00 118.77 90.00
Closest atoms and distances in Å follow each position.
Space group C2/m (No. 12)
Inequivalent atoms, fractional coordinates:
Ba 0.0000 0.0000 0.0000  4 Tc 2.73, 2 Ba 3.05
Tc 0.2500 0.2500 0.0000  2 Ba 2.73, 2 As 2.73, 2 Tc 3.05
As 0.0000 0.5000 0.0000  4 Tc 2.73, 2 As 3.05

The calculation puts the formation energy at 0.94 eV per atom.



No. 3
# BaTc2As

An optimized crystal structure of BaTc2As (GGA-PBEsol, the Alexandria database).

abc: 4.5649 4.0530 5.5434
angles: 90.00 101.34 90.00
Closest atoms and distances in Å follow each position.
Space group P2/m (No. 10)
Inequivalent atoms, fractional coordinates:
Ba 0.0000 0.0000 0.0000  2 As 3.23, 4 Tc 3.41
Tc 0.2393 0.5000 0.5840  1 Tc 2.20, 2 As 2.44
As 0.5000 0.0000 0.5000  4 Tc 2.44

The calculation puts the formation energy at 0.35 eV per atom.



No. 4
# BaTc2As

An optimized crystal structure of BaTc2As (GGA-PBEsol, the Alexandria database).

abc: 4.3592 4.3592 17.7439
angles: 90.00 90.00 120.00
Closest atoms and distances in Å follow each position.
Space group R-3m (No. 166, hexagonal axes)
Inequivalent atoms, fractional coordinates:
Ba 0.0000 0.0000 0.0000  2 Tc 3.16
Tc 0.0000 0.0000 0.1782  3 As 2.53, 3 Tc 2.55
As 0.0000 0.0000 0.5000  6 Tc 2.53

The calculation puts the formation energy at 0.00 eV per atom.



No. 5
# BaTc2As2

An optimized crystal structure of BaTc2As2 (GGA-PBEsol, the Alexandria database).

abc: 4.0358 4.0358 12.9984
angles: 90.00 90.00 90.00
Closest atoms and distances in Å follow each position.
Space group I4/mmm (No. 139)
Inequivalent atoms, fractional coordinates:
Ba 0.0000 0.0000 0.0000  8 As 3.39
Tc 0.0000 0.5000 0.2500  4 As 2.46
As 0.0000 0.0000 0.3585  4 Tc 2.46

The energy relative to the lowest polymorph listed for this composition comes out at 0.000 eV per atom. The calculation puts the formation energy at -0.49 eV per atom.



No. 6
# BaTcAs2

An optimized crystal structure of BaTcAs2 (GGA-PBEsol, the Alexandria database).

abc: 7.6620 3.4695 7.3086
angles: 90.00 112.97 90.00
Closest atoms and distances in Å follow each position.
Space group Cm (No. 8)
Inequivalent atoms, fractional coordinates:
Ba 0.0000 0.0000 0.0000  6 As 3.20-3.30, 2 Ba 3.47, 1 Tc 3.57
Tc 0.2127 0.0000 0.5308  6 As 2.48-2.66
As 0.0635 0.5000 0.6639  3 Tc 2.48
As 0.3368 0.5000 0.3435  3 Tc 2.61-2.66, 2 As 2.89

The energy relative to the lowest polymorph listed for this composition comes out at 0.000 eV per atom. The calculation puts the formation energy at -0.39 eV per atom.



| no. | theoretical density (g cm⁻³) |
| --- | --- |
| 1 | 7.582 |
| 2 | 9.121 |
| 3 | 6.742 |
| 4 | 6.965 |
| 5 | 7.579 |
| 6 | 7.151 |